Compound: ZrMnP2O
Source: Alexandria
Functional: PBE with a Hubbard U
Structure: relaxed

a = 5.194 Å, b = 5.194 Å, c = 3.981 Å
α = 90.00°, β = 90.00°, γ = 90.00°
Sites, in units of the cell vectors:
Zr 0.000 0.000 0.000
Mn 0.500 0.500 0.500
P 0.000 0.500 0.000
P 0.500 0.000 0.000
O 0.000 0.000 0.500

DFT total energy in eV/atom: -6.7666
Total moment in μB/atom: 0.7356
D(E_F) in states/eV/cell: 3.309
E above lowest polymorph in meV/atom: 0
SG: P4/mmm (123)
V in Å³/cell: 107